(1)
The following is a GGA-PBE calculation of TaTe2IBr after structural relaxation, from Alexandria.

a b c (Å): 5.3916 5.3916 5.5531
angles (deg): 90.00 90.00 90.00
With the nearest neighbours (Å) after each atom.
Space group P4/mmm (No. 123)
Asymmetric unit:
Ta: 0.0000 0.0000 0.0000 [1 per cell]  4 Te 2.70, 2 I 2.78
Te: 0.0000 0.5000 0.0000 [2 per cell]  2 Ta 2.70
I: 0.0000 0.0000 0.5000 [1 per cell]  2 Ta 2.78
Br: 0.5000 0.5000 0.5000 [1 per cell]  4 I 3.81, 8 Te 3.87

Properties
- Offset from the most stable computed form: 0 meV/atom
- Fermi-level density of states: 5.5 states/eV per cell
- Formation energy (no corrections): 0.10 eV/atom

(2)
The following is a GGA-PBE calculation of HfZnPtAu2 after structural relaxation, from Alexandria.

a b c (Å): 5.0795 5.0795 5.0837
angles (deg): 90.00 90.00 90.00
With the nearest neighbours (Å) after each atom.
Space group P4/mmm (No. 123)
Asymmetric unit:
Hf: 0.0000 0.0000 0.0000 [1 per cell]  4 Au 2.54, 2 Zn 2.54
Zn: 0.0000 0.0000 0.5000 [1 per cell]  2 Hf 2.54
Pt: 0.5000 0.5000 0.5000 [1 per cell]  4 Zn 3.59, 8 Au 3.59
Au: 0.0000 0.5000 0.0000 [2 per cell]  2 Hf 2.54

Properties
- Fermi-level density of states: 5.5 states/eV per cell
- Energy relative to the elements: 1.182 eV per atom

(3)
The following is a GGA-PBE calculation of TcNiH after structural relaxation, from Alexandria.

a b c (Å): 2.6209 2.6209 8.7697
angles (deg): 90.00 90.00 90.00
With the nearest neighbours (Å) after each atom.
Space group I4mm (No. 107)
Asymmetric unit:
Tc: 0.0000 0.0000 0.0000 [2 per cell]  4 H 1.99
Ni: 0.0000 0.0000 0.7045 [2 per cell]  5 H 2.53-2.62, 5 Tc 2.58-2.59, 4 Ni 2.62
H: 0.0000 0.0000 0.4162 [2 per cell]  4 Tc 1.99

Properties
- Offset from the most stable computed form: 291 meV/atom
- Fermi-level density of states: 5.3 states/eV per cell